Ca2Zn2Re | GGA-PBE | relaxed

Computed properties:
Energy of formation = 516 meV per atom

a b c (Å): 9.987 9.987 9.987
angles (deg): 160.09 160.09 28.30
Atoms (fractional coordinates):
Ca: 0.097 0.097 0.000
Ca: 0.903 0.903 0.000
Zn: 0.250 0.750 0.500
Zn: 0.750 0.250 0.500
Re: 0.500 0.500 0.000

Hg2Mo4H | GGA-PBE | relaxed

Computed properties:
Raw total energy = -6.217 eV/atom

a b c (Å): 7.420 7.420 7.420
angles (deg): 148.11 148.11 45.72
Atoms (fractional coordinates):
Hg: 0.159 0.159 0.000
Hg: 0.841 0.841 0.000
Mo: 0.000 0.500 0.500
Mo: 0.363 0.363 0.000
Mo: 0.500 0.000 0.500
Mo: 0.637 0.637 0.000
H: 0.500 0.500 0.000

Number 1: size of the total moment 1.52 μB/f.u.. Number 2: size of the total moment 0.00 μB/f.u..